No. 1
The following is a PBE-GGA calculation of UMnReSi after structural relaxation, from the Alexandria database.

Cell: 4.467 4.467 4.467 Å, 60.00 60.00 60.00°
Sites, in units of the cell vectors:
Si 0.750 0.750 0.750
Re 0.000 0.000 0.000
Mn 0.500 0.500 0.500
U 0.250 0.250 0.250

Output
uncorrected energy: -9.510 eV/atom
ρ: 13.4 Mg/m³
size of the total moment: 0.154 μB per atom
uncorrected formation energy: 72 meV per atom

No. 2
The following is a PBE-GGA calculation of Mn2AgPb after structural relaxation, from the Alexandria database.

Cell: 4.747 4.747 4.747 Å, 60.00 60.00 60.00°
Sites, in units of the cell vectors:
Mn 0.000 0.000 0.000
Pb 0.750 0.750 0.750
Ag 0.500 0.500 0.500
Mn 0.250 0.250 0.250

Output
uncorrected energy: -5.699 eV/atom
ρ: 9.3 Mg/m³
E_form: 0.526 eV per atom
size of the total moment: 1.917 μB per atom

No. 3
The following is a PBE-GGA calculation of ErCuNi after structural relaxation, from the Alexandria database.

Cell: 3.501 4.051 8.396 Å, 118.82 90.02 90.01°
Sites, in units of the cell vectors:
Er 0.363 0.604 0.805
Ni 0.863 0.250 0.951
Cu 0.864 0.247 0.447
Ni 0.863 0.919 0.119
Cu 0.863 0.922 0.623
Er 0.363 0.565 0.265

Output
uncorrected energy: -5.164 eV/atom
ρ: 9.2 Mg/m³
E_form: -0.350 eV per atom
size of the total moment: 0.000 μB per atom

No. 4
The following is a PBE-GGA calculation of MgMo2As after structural relaxation, from the Alexandria database.

Cell: 3.779 3.779 10.056 Å, 79.17 79.17 90.00°
Sites, in units of the cell vectors:
Mg 0.500 0.500 0.000
Mo 0.375 0.379 0.750
Mo 0.129 0.625 0.250
Mo 0.875 0.871 0.750
As 0.000 0.000 0.000
Mo 0.621 0.125 0.250
Mg 0.250 0.750 0.500
As 0.750 0.250 0.500

Output
uncorrected energy: -6.618 eV/atom
ρ: 7.0 Mg/m³
E_form: 0.358 eV per atom
size of the total moment: 0.000 μB per atom
relative energy among the computed polymorphs: 353 meV/atom

No. 5
The following is a PBE-GGA calculation of LaMg3Mn after structural relaxation, from the Alexandria database.

Cell: 5.997 5.997 5.997 Å, 90.00 90.00 90.00°
Sites, in units of the cell vectors:
La 0.000 0.000 0.000
Mg 0.000 0.000 0.500
Mn 0.500 0.500 0.500
Mg 0.000 0.500 0.000
Mg 0.500 0.000 0.000

Output
uncorrected energy: -2.295 eV/atom
ρ: 2.1 Mg/m³
E_form: 1.481 eV per atom
size of the total moment: 0.624 μB per atom
relative energy among the computed polymorphs: 1200 meV/atom

No. 6
The following is a PBE-GGA calculation of LiErCd14 after structural relaxation, from the Alexandria database.

Cell: 6.476 6.476 8.601 Å, 90.00 90.00 90.01°
Sites, in units of the cell vectors:
Cd 0.620 0.620 0.249
Cd 0.875 0.375 0.500
Er 0.875 0.875 0.500
Cd 0.130 0.130 0.249
Cd 0.375 0.875 0.500
Cd 0.130 0.620 0.751
Cd 0.875 0.375 0.000
Cd 0.375 0.875 0.000
Cd 0.375 0.375 0.000
Cd 0.620 0.620 0.751
Cd 0.620 0.130 0.249
Cd 0.620 0.130 0.751
Li 0.375 0.375 0.500
Cd 0.130 0.130 0.751
Cd 0.875 0.875 0.000
Cd 0.130 0.620 0.249

Output
uncorrected energy: -1.302 eV/atom
ρ: 8.0 Mg/m³
E_form: -0.096 eV per atom
size of the total moment: 0.000 μB per atom

No. 7
The following is a PBE-GGA calculation of BeSiF after structural relaxation, from the Alexandria database.

Cell: 2.574 4.481 7.506 Å, 90.00 99.43 90.00°
Sites, in units of the cell vectors:
Si 0.533 0.750 0.570
F 0.831 0.750 0.145
Be 0.387 0.750 0.262
Si 0.467 0.250 0.430
Be 0.613 0.250 0.738
F 0.169 0.250 0.855

Output
uncorrected energy: -4.969 eV/atom
ρ: 2.2 Mg/m³
size of the total moment: 0.000 μB per atom
relative energy among the computed polymorphs: 19 meV/atom
uncorrected formation energy: -1296 meV per atom

No. 8
The following is a PBE-GGA calculation of ZnTc2SnP after structural relaxation, from the Alexandria database.

Cell: 5.079 4.748 5.079 Å, 90.00 90.00 90.00°
Sites, in units of the cell vectors:
P 0.500 0.500 0.500
Sn 0.000 0.000 0.000
Tc 0.000 0.000 0.500
Zn 0.000 0.500 0.000
Tc 0.500 0.000 0.000

Output
uncorrected energy: -4.405 eV/atom
ρ: 5.6 Mg/m³
E_form: 1.879 eV per atom
size of the total moment: 1.026 μB per atom

No. 9
The following is a PBE-GGA calculation of ScTl2Hg after structural relaxation, from the Alexandria database.

Cell: 3.614 3.614 7.936 Å, 90.00 90.00 90.00°
Sites, in units of the cell vectors:
Sc 0.500 0.500 0.735
Tl 0.500 0.500 0.261
Hg 0.000 0.000 0.532
Tl 0.000 0.000 0.972

Output
uncorrected energy: -2.953 eV/atom
ρ: 10.5 Mg/m³
E_form: -0.112 eV per atom
size of the total moment: 0.046 μB per atom

No. 10
The following is a PBE-GGA calculation of Ta2CdNi after structural relaxation, from the Alexandria database.

Cell: 2.854 2.854 8.385 Å, 90.00 90.00 97.37°
Sites, in units of the cell vectors:
Ta 0.500 0.500 0.240
Cd 0.000 0.000 0.527
Ta 0.000 0.000 0.972
Ni 0.500 0.500 0.761

Output
uncorrected energy: -7.563 eV/atom
ρ: 13.1 Mg/m³
E_form: 0.037 eV per atom
size of the total moment: 0.000 μB per atom

No. 11
The following is a PBE-GGA calculation of Dy4In5Hg2 after structural relaxation, from the Alexandria database.

Cell: 3.541 7.938 10.145 Å, 94.90 90.00 90.00°
Sites, in units of the cell vectors:
In 0.000 0.818 0.842
Dy 0.500 0.823 0.116
Hg 0.000 0.068 0.638
Dy 0.500 0.267 0.440
Dy 0.500 0.177 0.884
Dy 0.500 0.733 0.560
In 0.000 0.551 0.305
In 0.000 0.182 0.158
In 0.000 0.500 0.000
In 0.000 0.449 0.695
Hg 0.000 0.932 0.362

Output
uncorrected energy: -3.382 eV/atom
ρ: 9.5 Mg/m³
E_form: -0.409 eV per atom
size of the total moment: 0.000 μB per atom

No. 12
The following is a PBE-GGA calculation of LaPrB12 after structural relaxation, from the Alexandria database.

Cell: 5.870 5.870 5.870 Å, 60.00 60.00 60.00°
Sites, in units of the cell vectors:
B 0.900 0.600 0.900
B 0.400 0.100 0.100
B 0.400 0.400 0.100
B 0.600 0.900 0.900
B 0.100 0.400 0.100
Pr 0.500 0.500 0.500
La 0.000 0.000 0.000
B 0.100 0.400 0.400
B 0.600 0.600 0.900
B 0.400 0.100 0.400
B 0.900 0.900 0.600
B 0.600 0.900 0.600
B 0.900 0.600 0.600
B 0.100 0.100 0.400

Output
uncorrected energy: -6.942 eV/atom
ρ: 4.8 Mg/m³
E_form: -0.525 eV per atom
size of the total moment: 0.000 μB per atom

No. 13
The following is a PBE-GGA calculation of LiAgP2O6 after structural relaxation, from the Alexandria database.

Cell: 4.862 7.470 7.470 Å, 92.78 78.26 78.26°
Sites, in units of the cell vectors:
O 0.520 0.636 0.696
O 0.407 0.806 0.424
Li 0.250 0.235 0.765
O 0.480 0.364 0.304
O 0.020 0.696 0.636
O 0.093 0.576 0.194
Li 0.750 0.765 0.235
P 0.706 0.209 0.378
P 0.206 0.378 0.209
O 0.907 0.424 0.806
O 0.593 0.194 0.576
O 0.789 0.038 0.244
Ag 0.750 0.104 0.896
O 0.980 0.304 0.364
Ag 0.250 0.896 0.104
O 0.211 0.962 0.756
O 0.711 0.756 0.962
P 0.294 0.791 0.622
O 0.289 0.244 0.038
P 0.794 0.622 0.791

Output
uncorrected energy: -6.414 eV/atom
ρ: 3.5 Mg/m³
size of the total moment: 0.000 μB per atom
uncorrected formation energy: -1881 meV per atom